Compound: VCuO2
Source: Alexandria
Functional: PBE with a Hubbard U
Structure: optimized geometry

Structure (POSCAR):
```
VCuO2
1.0
4.573 0.000 0.000
0.000 4.573 0.000
2.286 2.286 4.744
Cu O V
2 4 2
Cartesian
0.000 0.000 0.000 Cu
4.573 2.286 2.372 Cu
3.327 1.143 1.186 O
1.246 3.429 1.186 O
5.716 5.613 3.558 O
3.429 3.532 3.558 O
2.286 4.573 2.372 V
2.286 2.286 0.000 V
```

- Fermi-level density of states: 0.265 states/eV/atom
- ρ: 4.9 Mg/m³
- DFT total energy: -52.74 eV per cell
- Crystal system: tetragonal

***

Compound: MnClF2
Source: Alexandria
Functional: PBE with a Hubbard U
Structure: optimized geometry

Structure (POSCAR):
```
MnClF2
1.0
1.876 0.000 9.029
-0.938 1.624 9.029
-0.938 -1.624 9.029
F Cl Mn
2 1 1
Cartesian
0.000 0.000 3.519 F
0.000 0.000 23.570 F
0.000 0.000 0.000 Cl
0.000 0.000 13.544 Mn
```

- Energy above the lowest structure with this stoichiometry: 0.92 eV per formula unit
- Fermi-level density of states: 0.701 states/eV/atom
- ρ: 2.6 Mg/m³
- DFT total energy: -19.87 eV per cell
- Crystal system: trigonal

***

Repeat the second record exactly.
Compound: MnClF2
Source: Alexandria
Functional: PBE with a Hubbard U
Structure: optimized geometry

Structure (POSCAR):
```
MnClF2
1.0
1.876 0.000 9.029
-0.938 1.624 9.029
-0.938 -1.624 9.029
F Cl Mn
2 1 1
Cartesian
0.000 0.000 3.519 F
0.000 0.000 23.570 F
0.000 0.000 0.000 Cl
0.000 0.000 13.544 Mn
```

- Energy above the lowest structure with this stoichiometry: 0.92 eV per formula unit
- Fermi-level density of states: 0.701 states/eV/atom
- ρ: 2.6 Mg/m³
- DFT total energy: -19.87 eV per cell
- Crystal system: trigonal

***

Question: Number 2 is which compound?
Answer: MnClF2